1.
This record from OQMD via LeMat-Bulk describes a relaxed structure of BeZnAsIr. The functional is PBE.

Values from the calculation:
Final energy ... -17.59 eV for the cell shown
Crystal system ... cubic

a = 4.301 Å, b = 4.301 Å, c = 4.301 Å
α = 60.00°, β = 60.00°, γ = 60.00°
Positions (direct):
Ir 0.000 0.000 0.000
Be 0.750 0.750 0.750
As 0.500 0.500 0.500
Zn 0.250 0.250 0.250



2.
This record from OQMD via LeMat-Bulk describes a relaxed structure of Cs3KAg2P2. The functional is PBE.

Values from the calculation:
Final energy ... -22.53 eV for the cell shown
Crystal system ... monoclinic

a = 6.693 Å, b = 6.331 Å, c = 6.744 Å
α = 90.00°, β = 106.46°, γ = 90.00°
Positions (direct):
P 0.734 0.000 0.746
P 0.283 0.500 0.255
Ag 0.501 0.249 0.505
Ag 0.501 0.751 0.505
Cs 0.960 0.000 0.311
Cs 0.310 0.000 0.972
Cs 0.031 0.500 0.687
K 0.679 0.500 0.018



Q: What is the formula in the first record?
A: BeZnAsIr